Density functional theory data (PBE with a Hubbard U) for a relaxed VPCl2F crystal.

Calculated values
E above lowest polymorph	0.456	eV per atom
SG	P4/mmm, No. 123
E_tot	-16.738	eV for the cell shown

a b c (Å): 5.3130 5.3130 3.6886
angles (deg): 90.00 90.00 90.00
Atoms (fractional coordinates):
P (0.0000, 0.0000, 0.5000)
F (0.0000, 0.0000, 0.0000)
Cl (0.0000, 0.5000, 0.0000)
Cl (0.5000, 0.0000, 0.0000)
V (0.5000, 0.5000, 0.5000)